Er3Zn2Pt6: optimized geometry, PBE.

a = 9.502 Å, b = 9.502 Å, c = 9.502 Å
α = 90.00°, β = 90.00°, γ = 90.00°
Space group Im-3m (No. 229)
Symmetry-distinct sites (fractional):
Er: 0.000 0.000 0.306 [12 per cell]
Zn: 0.250 0.250 0.250 [8 per cell]
Pt: 0.000 0.328 0.328 [24 per cell]

Output
Magnetization ... 0.000 μB per formula unit
Formation energy from the elements ... -0.97 eV/atom
Total DFT energy (no corrections) ... -5.75 eV/atom
D(E_F) ... 16.303 states/eV per cell
Theoretical density ... 13.962 g cm⁻³

***

ErZn3Pt: optimized geometry, PBE.

a = 3.905 Å, b = 3.905 Å, c = 11.936 Å
α = 90.00°, β = 90.00°, γ = 90.00°
Space group I4mm (No. 107)
Symmetry-distinct sites (fractional):
Er: 0.000 0.000 0.000 [2 per cell]
Zn: 0.000 0.000 0.382 [2 per cell]
Zn: 0.000 0.500 0.243 [4 per cell]
Pt: 0.000 0.000 0.593 [2 per cell]

Output
Magnetization ... 0.000 μB per formula unit
Formation energy from the elements ... -0.58 eV/atom
Total DFT energy (no corrections) ... -3.46 eV/atom
D(E_F) ... 4.261 states/eV per cell
Theoretical density ... 10.190 g cm⁻³

***

What did the second record say?
ErZn3Pt: optimized geometry, PBE.

a = 3.905 Å, b = 3.905 Å, c = 11.936 Å
α = 90.00°, β = 90.00°, γ = 90.00°
Space group I4mm (No. 107)
Symmetry-distinct sites (fractional):
Er: 0.000 0.000 0.000 [2 per cell]
Zn: 0.000 0.000 0.382 [2 per cell]
Zn: 0.000 0.500 0.243 [4 per cell]
Pt: 0.000 0.000 0.593 [2 per cell]

Output
Magnetization ... 0.000 μB per formula unit
Formation energy from the elements ... -0.58 eV/atom
Total DFT energy (no corrections) ... -3.46 eV/atom
D(E_F) ... 4.261 states/eV per cell
Theoretical density ... 10.190 g cm⁻³

***

Question: Which of these has the highest formation energy from the elements?
Answer: ErZn3Pt

***

Question: Among the records above, which one has the lowest D(E_F)?
Answer: ErZn3Pt